(1)
Material: ReBi2CF
Method: DFT, PBE
State: relaxed

Energy: -23.8 eV/f.u.
M_tot: 0.15 μB per atom
Raw formation energy: 1.497 eV per atom

Cell: 4.9350 4.9350 3.7696 Å, 90.00 90.00 90.00°
Space group P4/mmm (No. 123)
Symmetry-distinct sites (fractional):
Re (0.0000, 0.0000, 0.0000) (multiplicity 1)
Bi (0.0000, 0.5000, 0.5000) (multiplicity 2)
C (0.5000, 0.5000, 0.0000) (multiplicity 1)
F (0.5000, 0.5000, 0.5000) (multiplicity 1)

=====

(2)
Material: Ac6CdIr4
Method: DFT, PBE
State: relaxed

Energy: -67.0 eV/f.u.
M_tot: 0.00 μB per atom

Cell: 4.3848 14.4920 22.4294 Å, 90.00 90.00 90.00°
Space group Cmcm (No. 63)
Symmetry-distinct sites (fractional):
Ac (0.0000, 0.0000, 0.0000) (multiplicity 4)
Ac (0.0000, 0.1626, 0.2500) (multiplicity 4)
Ac (0.0000, 0.2681, 0.5802) (multiplicity 8)
Ac (0.0000, 0.4677, 0.1516) (multiplicity 8)
Cd (0.0000, 0.1521, 0.7500) (multiplicity 4)
Ir (0.0000, 0.1006, 0.1287) (multiplicity 8)
Ir (0.0000, 0.3644, 0.0422) (multiplicity 8)

=====

(3)
Material: GaH2RuF
Method: DFT, PBE
State: relaxed

Energy: -19.3 eV/f.u.
M_tot: 0.48 μB per atom

Cell: 3.4000 3.4000 5.2743 Å, 90.00 90.00 90.00°
Space group P4/mmm (No. 123)
Symmetry-distinct sites (fractional):
Ga (0.0000, 0.0000, 0.0000) (multiplicity 1)
H (0.0000, 0.5000, 0.0000) (multiplicity 2)
Ru (0.0000, 0.0000, 0.5000) (multiplicity 1)
F (0.5000, 0.5000, 0.5000) (multiplicity 1)

=====

(4)
Material: ZrTcPb2
Method: DFT, PBE
State: relaxed

E above lowest polymorph: 358 meV/atom
Energy: -24.7 eV/f.u.
M_tot: 0.00 μB per atom

Cell: 7.1017 7.1017 7.1017 Å, 90.00 90.00 90.00°
Space group F-43m (No. 216)
Symmetry-distinct sites (fractional):
Zr (0.0000, 0.0000, 0.0000) (multiplicity 4)
Tc (0.2500, 0.2500, 0.7500) (multiplicity 4)
Pb (0.0000, 0.0000, 0.5000) (multiplicity 4)
Pb (0.2500, 0.2500, 0.2500) (multiplicity 4)

=====

(5)
Material: LiTlNCl2
Method: DFT, PBE
State: relaxed

Energy: -15.0 eV/f.u.
M_tot: 0.00 μB per atom
Raw formation energy: 0.269 eV per atom

Cell: 5.3899 5.3899 4.2208 Å, 90.00 90.00 90.00°
Space group P4/mmm (No. 123)
Symmetry-distinct sites (fractional):
Li (0.0000, 0.0000, 0.0000) (multiplicity 1)
Tl (0.5000, 0.5000, 0.0000) (multiplicity 1)
N (0.5000, 0.5000, 0.5000) (multiplicity 1)
Cl (0.0000, 0.5000, 0.5000) (multiplicity 2)

=====

(6)
Material: PaTiI
Method: DFT, PBE
State: relaxed

Energy: -17.8 eV/f.u.
M_tot: 0.00 μB per atom
Raw formation energy: 0.395 eV per atom

Cell: 4.8628 4.8628 6.1175 Å, 90.00 90.00 90.00°
Space group P4/nmm (No. 129, origin choice 2)
Symmetry-distinct sites (fractional):
Pa (0.2500, 0.2500, 0.1277) (multiplicity 2)
Ti (0.2500, 0.2500, 0.7409) (multiplicity 2)
I (0.2500, 0.7500, 0.5000) (multiplicity 2)

=====

(7)
Material: Th3OsPd
Method: DFT, PBE
State: relaxed

E above lowest polymorph: 34 meV/atom
Energy: -40.8 eV/f.u.
M_tot: 0.00 μB per atom

Cell: 12.0638 4.6221 9.7576 Å, 90.00 104.97 90.00°
Space group C2/m (No. 12)
Symmetry-distinct sites (fractional):
Th (0.0790, 0.0000, 0.3614) (multiplicity 4)
Th (0.1323, 0.5000, 0.6713) (multiplicity 4)
Th (0.1602, 0.5000, 0.0935) (multiplicity 4)
Os (0.2308, 0.5000, 0.3911) (multiplicity 4)
Pd (0.0807, 0.0000, 0.9154) (multiplicity 4)

=====

(8)
Material: Mg6TiBi
Method: DFT, PBE
State: relaxed

E above lowest polymorph: 10 meV/atom
Energy: -21.0 eV/f.u.
M_tot: 0.16 μB per atom

Cell: 5.2876 6.1227 11.2061 Å, 90.00 90.00 90.00°
Space group Amm2 (No. 38)
Symmetry-distinct sites (fractional):
Mg (0.0000, 0.0000, 0.0000) (multiplicity 2)
Mg (0.0000, 0.0000, 0.4894) (multiplicity 2)
Mg (0.0000, 0.2387, 0.2424) (multiplicity 4)
Mg (0.5000, 0.2479, 0.5813) (multiplicity 4)
Ti (0.5000, 0.0000, 0.3316) (multiplicity 2)
Bi (0.5000, 0.0000, 0.8321) (multiplicity 2)